Computed, not measured: Na3RhO3 after structural relaxation at the GGA-PBE level of DFT.

abc: 16.997 5.320 9.058
angles: 90.00 90.00 90.00
Space group Cmce (No. 64)
Inequivalent atoms, fractional coordinates:
Na (0.000, 0.090, 0.162) [8 per cell]
Na (0.192, 0.131, 0.137) [16 per cell]
Rh (0.093, 0.000, 0.500) [8 per cell]
O (0.000, 0.180, 0.409) [8 per cell]
O (0.169, 0.198, 0.392) [16 per cell]

Output
total energy: -4.828 eV/atom
raw formation energy: -105.0 kJ/mol of atoms


Computed, not measured: NaRhO2 after structural relaxation at the GGA-PBE level of DFT.

abc: 4.737 4.737 10.619
angles: 90.00 90.00 90.00
Space group I-42d (No. 122)
Inequivalent atoms, fractional coordinates:
Na (0.000, 0.000, 0.000) [4 per cell]
Rh (0.000, 0.000, 0.500) [4 per cell]
O (0.183, 0.250, 0.625) [8 per cell]

Output
total energy: -5.402 eV/atom
raw formation energy: -72.9 kJ/mol of atoms


Computed, not measured: NaRhO4 after structural relaxation at the GGA-PBE level of DFT.

abc: 3.370 3.370 5.882
angles: 90.00 90.00 90.00
Space group P4/mmm (No. 123)
Inequivalent atoms, fractional coordinates:
Na (0.000, 0.000, 0.000) [1 per cell]
Rh (0.500, 0.500, 0.500) [1 per cell]
O (0.000, 0.500, 0.297) [4 per cell]

Output
total energy: -5.160 eV/atom
raw formation energy: -39.5 kJ/mol of atoms


What is the formula in the third record?
NaRhO4